VASP calculation (PBE) on an optimized crystal structure of TbNd12Sc7.

Results
For the uncorrected energy, the calculation gives -5.16 eV per atom. As for the space group: R-3 (148).

abc: 9.2035 9.2035 9.2035
angles: 108.12 108.12 108.12
Sites, in units of the cell vectors:
Tb 0.0000 0.0000 0.0000
Nd 0.0613 0.4097 0.2954
Nd 0.2053 0.3740 0.6747
Nd 0.2954 0.0613 0.4097
Nd 0.3253 0.7947 0.6260
Nd 0.3740 0.6747 0.2053
Nd 0.4097 0.2954 0.0613
Nd 0.5903 0.7046 0.9387
Nd 0.6260 0.3253 0.7947
Nd 0.6747 0.2053 0.3740
Nd 0.7046 0.9387 0.5903
Nd 0.7947 0.6260 0.3253
Nd 0.9387 0.5903 0.7046
Sc 0.0004 0.3149 0.8981
Sc 0.9996 0.6851 0.1019
Sc 0.1019 0.9996 0.6851
Sc 0.3149 0.8981 0.0004
Sc 0.5000 0.5000 0.5000
Sc 0.6851 0.1019 0.9996
Sc 0.8981 0.0004 0.3149